# 1
DFT (GGA-PBE) results for crystalline InRe2O at its relaxed geometry.

Values from the calculation:
energy relative to the elements, uncorrected	0.629	eV/atom
size of the total moment	0.00	μB/atom

a b c (Å): 4.744 4.744 13.308
angles (deg): 90.00 90.00 90.00
Space group I-42d (No. 122)
One atom of each set of equivalent atoms:
In 0.000 0.000 0.000 [4 per cell]
Re 0.055 0.250 0.625 [8 per cell]
O 0.000 0.000 0.500 [4 per cell]

=====

# 2
DFT (GGA-PBE) results for crystalline In3ReO at its relaxed geometry.

Values from the calculation:
energy relative to the elements, uncorrected	0.384	eV/atom
size of the total moment	0.27	μB/atom

a b c (Å): 4.528 4.528 4.528
angles (deg): 90.00 90.00 90.00
Space group Pm-3m (No. 221)
One atom of each set of equivalent atoms:
In 0.000 0.000 0.500 [3 per cell]
Re 0.500 0.500 0.500 [1 per cell]
O 0.000 0.000 0.000 [1 per cell]

=====

# 3
DFT (GGA-PBE) results for crystalline In2ReO2 at its relaxed geometry.

Values from the calculation:
energy relative to the elements, uncorrected	0.067	eV/atom
size of the total moment	0.59	μB/atom

a b c (Å): 3.659 3.659 11.961
angles (deg): 90.00 90.00 90.00
Space group I4/mmm (No. 139)
One atom of each set of equivalent atoms:
In 0.000 0.000 0.151 [4 per cell]
Re 0.000 0.000 0.500 [2 per cell]
O 0.000 0.500 0.250 [4 per cell]

=====

# 4
DFT (GGA-PBE) results for crystalline InReO6 at its relaxed geometry.

Values from the calculation:
energy relative to the elements, uncorrected	-0.832	eV/atom
size of the total moment	0.25	μB/atom

a b c (Å): 5.165 8.581 5.062
angles (deg): 90.00 102.69 90.00
Space group C2/m (No. 12)
One atom of each set of equivalent atoms:
In 0.000 0.000 0.000 [2 per cell]
Re 0.000 0.500 0.500 [2 per cell]
O 0.209 0.350 0.724 [8 per cell]
O 0.241 0.500 0.273 [4 per cell]

=====

# 5
DFT (GGA-PBE) results for crystalline InReO3 at its relaxed geometry.

Values from the calculation:
energy relative to the elements, uncorrected	0.379	eV/atom
size of the total moment	0.82	μB/atom

a b c (Å): 4.085 4.085 4.085
angles (deg): 90.00 90.00 90.00
Space group Pm-3m (No. 221)
One atom of each set of equivalent atoms:
In 0.000 0.000 0.000 [1 per cell]
Re 0.500 0.500 0.500 [1 per cell]
O 0.000 0.000 0.500 [3 per cell]

=====

# 6
DFT (GGA-PBE) results for crystalline InReO3 at its relaxed geometry.

Values from the calculation:
energy relative to the elements, uncorrected	-1.106	eV/atom
size of the total moment	0.00	μB/atom

a b c (Å): 3.956 3.956 3.956
angles (deg): 90.00 90.00 90.00
Space group Pm-3m (No. 221)
One atom of each set of equivalent atoms:
In 0.000 0.000 0.000 [1 per cell]
Re 0.500 0.500 0.500 [1 per cell]
O 0.000 0.500 0.500 [3 per cell]

=====

# 7
DFT (GGA-PBE) results for crystalline In2ReO at its relaxed geometry.

Values from the calculation:
energy relative to the elements, uncorrected	0.327	eV/atom
size of the total moment	0.51	μB/atom

a b c (Å): 6.602 6.602 6.631
angles (deg): 90.00 90.00 90.00
Space group I-42d (No. 122)
One atom of each set of equivalent atoms:
In 0.185 0.250 0.125 [8 per cell]
Re 0.000 0.000 0.500 [4 per cell]
O 0.000 0.000 0.000 [4 per cell]

=====

# 8
DFT (GGA-PBE) results for crystalline In3ReO at its relaxed geometry.

Values from the calculation:
energy relative to the elements, uncorrected	0.831	eV/atom
size of the total moment	0.45	μB/atom

a b c (Å): 5.238 5.238 5.238
angles (deg): 90.00 90.00 90.00
Space group Pm-3m (No. 221)
One atom of each set of equivalent atoms:
In 0.000 0.000 0.500 [3 per cell]
Re 0.000 0.000 0.000 [1 per cell]
O 0.500 0.500 0.500 [1 per cell]

=====

# 9
DFT (GGA-PBE) results for crystalline SrInRe2O8 at its relaxed geometry.

Values from the calculation:
energy relative to the elements, uncorrected	-1.723	eV/atom
size of the total moment	0.09	μB/atom

a b c (Å): 6.1761 6.1761 7.8498
angles (deg): 90.00 90.00 120.00
Space group P-3m1 (No. 164)
One atom of each set of equivalent atoms:
Sr 0.0000 0.0000 0.0000 [1 per cell]
In 0.0000 0.0000 0.5000 [1 per cell]
Re 0.3333 0.6667 0.8366 [2 per cell]
O 0.1733 0.3467 0.7701 [6 per cell]
O 0.3333 0.6667 0.0606 [2 per cell]

=====

# 10
DFT (GGA-PBE) results for crystalline Sr2InReO8 at its relaxed geometry.

Values from the calculation:
energy relative to the elements, uncorrected	-1.763	eV/atom
size of the total moment	0.00	μB/atom

a b c (Å): 4.698 5.361 6.743
angles (deg): 94.37 102.28 90.33
Space group P-1 (No. 2)
One atom of each set of equivalent atoms:
Sr 0.095 0.010 0.280 [2 per cell]
In 0.500 0.500 0.000 [1 per cell]
Re 0.500 0.500 0.500 [1 per cell]
O 0.234 0.470 0.215 [2 per cell]
O 0.245 0.318 0.613 [2 per cell]
O 0.334 0.796 0.575 [2 per cell]
O 0.384 0.910 0.009 [2 per cell]

=====

# 11
DFT (GGA-PBE) results for crystalline SrIn2ReO8 at its relaxed geometry.

Values from the calculation:
energy relative to the elements, uncorrected	-1.610	eV/atom
size of the total moment	0.02	μB/atom

a b c (Å): 4.704 6.947 4.986
angles (deg): 90.00 90.61 90.00
Space group P2/m (No. 10)
One atom of each set of equivalent atoms:
Sr 0.000 0.000 0.000 [1 per cell]
In 0.500 0.263 0.500 [2 per cell]
Re 0.000 0.500 0.000 [1 per cell]
O 0.223 0.306 0.848 [4 per cell]
O 0.247 0.000 0.452 [2 per cell]
O 0.253 0.500 0.314 [2 per cell]

=====

# 12
DFT (GGA-PBE) results for crystalline SrInReO6 at its relaxed geometry.

Values from the calculation:
energy relative to the elements, uncorrected	-1.891	eV/atom
size of the total moment	0.00	μB/atom

a b c (Å): 5.4867 5.4867 5.2623
angles (deg): 90.00 90.00 120.00
Space group P312 (No. 149)
One atom of each set of equivalent atoms:
Sr 0.0000 0.0000 0.0000 [1 per cell]
In 0.6667 0.3333 0.5000 [1 per cell]
Re 0.3333 0.6667 0.5000 [1 per cell]
O 0.0366 0.3964 0.2915 [6 per cell]

=====

no.,uncorrected energy (eV per atom),theoretical density (Mg/m³)
1,-7.519,11.16
2,-4.740,9.78
3,-5.501,9.29
4,-6.449,6.02
5,-5.633,8.50
6,-7.118,9.36
7,-5.394,9.92
8,-4.293,6.32
9,-7.472,4.50
10,-6.615,6.07
11,-6.549,6.44
12,-7.071,5.87